The following is a DFT calculation (PBE) of RbYBeTe3 after structural relaxation.

Geometry as extended XYZ:
```
12
Lattice="-0.8615 1.8423 3.7718 -9.9456 -2.8113 -3.3326 2.5370 -7.6924 4.3367" Properties=species:S:1:pos:R:3 pbc="T T T"
Te -7.8332 -3.5701 2.3889
Te -7.6967 -7.6605 1.9838
Te -3.9525 -3.0239 0.5742
Te -4.3177 -5.6376 4.2017
Te -0.4369 -5.0914 2.3870
Te -0.5734 -1.0009 2.7921
Y -2.6463 -3.1371 3.3621
Y -5.6238 -5.5243 1.4138
Rb -7.3922 -1.7286 -0.8441
Rb -0.8779 -6.9329 5.6199
Be -8.7744 -5.7422 3.2349
Be 0.5043 -2.9192 1.5410
```

Summary:
E_form (uncorrected) (eV per atom): -0.996
M_tot (μB/cell): 0.0
Total DFT energy (no corrections) (eV per atom): -4.4264



The following is a DFT calculation (PBE) of GdPa2Tc after structural relaxation.

Geometry as extended XYZ:
```
4
Lattice="4.7346 0.0000 0.0000 2.3673 4.1003 0.0000 2.3673 1.3668 4.8191" Properties=species:S:1:pos:R:3 pbc="T T T"
Pa 2.3673 1.3668 1.0616
Pa 7.1019 4.1003 3.7575
Tc 0.0000 0.0000 0.0000
Gd 4.7346 2.7335 2.4096
```

Summary:
Energy above the lowest structure with this stoichiometry (meV per atom): 180
M_tot (μB/cell): 7.8
Total DFT energy (no corrections) (eV per atom): -10.6159



The following is a DFT calculation (PBE) of Pr8Te4PPt3 after structural relaxation.

Geometry as extended XYZ:
```
16
Lattice="8.6348 0.0000 0.0000 0.0000 9.0108 0.2566 -4.3174 -4.3119 6.1102" Properties=species:S:1:pos:R:3 pbc="T T T"
Te 4.3174 0.0000 0.0000
Te 2.1587 -2.1560 3.0551
Te -2.1587 -2.1560 3.0551
Te 0.0000 0.0000 0.0000
Pr 0.0000 0.3215 3.2772
Pr 4.3174 0.2910 3.2619
Pr 2.1630 2.2477 6.1663
Pr 6.4804 2.4511 0.2005
Pr 4.3174 4.3774 3.0895
Pr 2.1544 2.4511 0.2005
Pr 0.0000 4.4078 3.1049
Pr -2.1630 2.2477 6.1663
Pt 2.1587 2.3494 3.1834
Pt -2.1587 2.3494 3.1834
Pt 4.3174 4.5054 0.1283
P 0.0000 4.5054 0.1283
```

Summary:
E_form (uncorrected) (eV per atom): -1.296
M_tot (μB/cell): 0.0
Total DFT energy (no corrections) (eV per atom): -5.9415



The following is a DFT calculation (PBE) of Mg2CoMo after structural relaxation.

Geometry as extended XYZ:
```
4
Lattice="2.7483 0.0000 0.0000 0.0000 2.7483 0.0000 0.0000 0.0000 8.3330" Properties=species:S:1:pos:R:3 pbc="T T T"
Mg 0.0000 0.0000 4.3347
Mg 0.0000 0.0000 8.1648
Co 1.3742 1.3742 6.2497
Mo 1.3742 1.3742 2.0832
```

Summary:
Energy above the lowest structure with this stoichiometry (meV per atom): 190
M_tot (μB/cell): 1.2
Total DFT energy (no corrections) (eV per atom): -4.9808



The following is a DFT calculation (PBE) of BaSc3In after structural relaxation.

Geometry as extended XYZ:
```
5
Lattice="-4.4121 -1.0590 -2.7780 -1.6799 -3.2136 3.8931 -2.4529 4.1057 2.3307" Properties=species:S:1:pos:R:3 pbc="T T T"
Sc -2.2061 -0.5295 -1.3890
Sc -0.8399 -1.6068 1.9466
Sc -1.2265 2.0529 1.1653
Ba 0.0000 0.0000 0.0000
In -4.2725 -0.0835 1.7229
```

Summary:
Energy above the lowest structure with this stoichiometry (meV per atom): 783
M_tot (μB/cell): 0.0
Total DFT energy (no corrections) (eV per atom): -3.6176



The following is a DFT calculation (PBE) of LaBeS2 after structural relaxation.

Geometry as extended XYZ:
```
8
Lattice="-5.1789 -4.0027 -0.9515 -0.7457 -0.5911 6.5454 -5.1120 0.4830 2.8031" Properties=species:S:1:pos:R:3 pbc="T T T"
S -6.1288 -1.4184 4.8419
S -4.1002 -2.0624 1.0176
S -8.9448 -3.5994 6.3553
S -2.8992 -1.1415 4.5794
Be -4.4100 -1.2025 6.0728
Be -2.9623 -2.2969 2.7970
La 0.0000 0.0000 0.0000
La -6.6266 -2.9083 2.3243
```

Summary:
E_form (uncorrected) (eV per atom): -1.327
M_tot (μB/cell): 0.0
Total DFT energy (no corrections) (eV per atom): -5.5545



The following is a DFT calculation (PBE) of TiIrRh3 after structural relaxation.

Geometry as extended XYZ:
```
20
Lattice="-1.5482 -1.1325 4.2040 8.4712 -0.7159 2.9268 -0.0548 7.2149 1.9235" Properties=species:S:1:pos:R:3 pbc="T T T"
Rh 1.9064 3.5384 3.4459
Rh 4.9810 -0.6992 4.9346
Rh 1.8872 6.0657 4.1197
Rh 2.8907 0.8554 4.1208
Rh 6.4595 3.4127 4.0472
Rh 0.4279 -0.5735 4.3333
Rh 4.9618 1.8281 5.6084
Rh 0.3416 5.3077 1.8418
Rh 6.5267 0.0588 7.2124
Rh 6.4403 5.9400 4.7209
Rh 0.4088 1.9538 5.0071
Rh 3.9775 4.5111 4.9335
Ir 0.9639 1.2956 2.4148
Ir 1.3998 4.2322 5.9061
Ir 5.4684 1.1343 3.1482
Ir 5.9043 4.0709 6.6394
Ti 4.2082 3.2495 2.4251
Ti -0.7741 -0.5663 2.1020
Ti 4.2356 -0.3580 1.4634
Ti -0.8015 3.0412 3.0638
```

Summary:
Energy above the lowest structure with this stoichiometry (meV per atom): 204
M_tot (μB/cell): 0.0
Total DFT energy (no corrections) (eV per atom): -7.9824



The following is a DFT calculation (PBE) of Ho2MnZn2Pd5 after structural relaxation.

Geometry as extended XYZ:
```
20
Lattice="3.7737 0.0000 0.0000 0.0000 9.6089 0.0000 0.0000 0.0000 9.6089" Properties=species:S:1:pos:R:3 pbc="T T T"
Zn 0.0000 8.4369 3.6325
Zn 0.0000 3.6325 1.1720
Zn 0.0000 5.9764 8.4369
Zn 0.0000 1.1720 5.9764
Pd 1.8869 4.1658 2.8656
Pd 1.8869 1.9389 0.6387
Pd 1.8869 0.0000 4.8044
Pd 1.8869 4.8044 0.0000
Pd 1.8869 2.8656 5.4431
Pd 1.8869 8.9702 1.9389
Pd 1.8869 0.6387 7.6700
Pd 1.8869 6.7433 4.1658
Pd 1.8869 7.6700 8.9702
Pd 1.8869 5.4431 6.7433
Ho 0.0000 6.4969 1.6925
Ho 0.0000 3.1119 7.9163
Ho 0.0000 1.6925 3.1119
Ho 0.0000 7.9163 6.4969
Mn 0.0000 4.8044 4.8044
Mn 0.0000 0.0000 0.0000
```

Summary:
M_tot (μB/cell): 8.0
Total DFT energy (no corrections) (eV per atom): -5.3057